[1]
# ZrAl3Rh4 (PBE-GGA, optimized geometry)
data_ZrAl3Rh4
_chemical_formula_sum 'Zr3 Al9 Rh12'
_space_group_name_H-M_alt 'R -3 m'
_space_group_IT_number 166
_space_group_name_Hall '-R 3 2"'
_cell_length_a 4.3547
_cell_length_b 4.3547
_cell_length_c 21.5828
_cell_angle_alpha 90.00
_cell_angle_beta 90.00
_cell_angle_gamma 120.00
loop_
_atom_site_label
_atom_site_fract_x
_atom_site_fract_y
_atom_site_fract_z
Zr1 0.0000 0.0000 0.0000
Al1 0.0000 0.0000 0.2475
Al2 0.0000 0.0000 0.5000
Rh1 0.0000 0.0000 0.1276
Rh2 0.0000 0.0000 0.3817
# formation enthalpy at 0 K	-0.998	eV per atom
# M_tot	0.0	μB per cell

[2]
# Y2UOs2 (PBE-GGA, optimized geometry)
data_Y2UOs2
_chemical_formula_sum 'Y8 U4 Os8'
_space_group_name_H-M_alt 'C 1 2/c 1'
_space_group_IT_number 15
_cell_length_a 9.8668
_cell_length_b 5.8551
_cell_length_c 7.9719
_cell_angle_alpha 90.00
_cell_angle_beta 100.93
_cell_angle_gamma 90.00
loop_
_space_group_symop_operation_xyz
'x,y,z'
'-x,-y,-z'
'-x,y,-z+1/2'
'x,-y,z+1/2'
'x+1/2,y+1/2,z'
'-x+1/2,-y+1/2,-z'
'-x+1/2,y+1/2,-z+1/2'
'x+1/2,-y+1/2,z+1/2'
loop_
_atom_site_label
_atom_site_fract_x
_atom_site_fract_y
_atom_site_fract_z
Y1 0.1490 0.1343 0.1496
U1 0.0000 0.3631 0.7500
Os1 0.1320 0.3666 0.5072
# formation enthalpy at 0 K	-0.237	eV per atom
# M_tot	5.4	μB per cell

- What is the formation enthalpy at 0 K in the first record?
  -0.998 eV per atom

- M_tot of number 1 (ZrAl3Rh4)?
  0.0 μB per cell

- The lowest formation enthalpy at 0 K belongs to which entry?
  ZrAl3Rh4

- Among the records above, which one has the lowest formation enthalpy at 0 K?
  ZrAl3Rh4